This record from the Alexandria database describes a relaxed structure of Ce2SmAg2Hg2. The functional is PBE-GGA.

Cell lengths 8.632, 8.632, 8.632 Å; angles 32.97, 32.97, 32.97 degrees
Atoms (fractional coordinates):
Ce1 0.141 0.141 0.141
Ce2 0.859 0.859 0.859
Sm1 0.000 0.000 0.000
Ag1 0.417 0.417 0.417
Ag2 0.583 0.583 0.583
Hg1 0.272 0.272 0.272
Hg2 0.728 0.728 0.728

As for the space-group type: R-3m, No. 166. The density of states at the Fermi level is 1.80 states/eV per atom. As for the density: 10261 kg/m³. For the calculated formation energy, the calculation gives -192 meV/atom. For the total energy, the calculation gives -24.24 eV per cell.

This record from the Alexandria database describes a relaxed structure of Ac7PmPr12. The functional is PBE-GGA.

Cell lengths 10.609, 10.609, 10.609 Å; angles 109.47, 109.47, 109.47 degrees
Atoms (fractional coordinates):
Ac1 0.000 0.000 0.500
Ac2 0.000 0.500 0.000
Ac3 0.000 0.500 0.500
Ac4 0.500 0.000 0.000
Ac5 0.500 0.000 0.500
Ac6 0.500 0.500 0.000
Ac7 0.500 0.500 0.500
Pm1 0.000 0.000 0.000
Pr1 0.084 0.758 0.326
Pr2 0.242 0.326 0.568
Pr3 0.242 0.674 0.916
Pr4 0.326 0.084 0.758
Pr5 0.326 0.568 0.242
Pr6 0.432 0.758 0.674
Pr7 0.568 0.242 0.326
Pr8 0.674 0.432 0.758
Pr9 0.674 0.916 0.242
Pr10 0.758 0.326 0.084
Pr11 0.758 0.674 0.432
Pr12 0.916 0.242 0.674

As for the space-group type: Im-3, No. 204. The density of states at the Fermi level is 1.50 states/eV per atom. As for the density: 6188 kg/m³. For the calculated formation energy, the calculation gives 763 meV/atom. For the total energy, the calculation gives -75.61 eV per cell.

This record from the Alexandria database describes a relaxed structure of DyErHg2. The functional is PBE-GGA.

Cell lengths 3.714, 3.714, 9.443 Å; angles 101.46, 101.46, 59.89 degrees
Atoms (fractional coordinates):
Dy1 0.000 0.000 0.000
Er1 0.166 0.166 0.499
Hg1 0.583 0.583 0.747
Hg2 0.751 0.751 0.253

As for the space-group type: Cm, No. 8. The energy above the most stable polymorph in this dataset is 0.1483 eV/atom. The density of states at the Fermi level is 0.92 states/eV per atom. As for the density: 11068 kg/m³. For the calculated formation energy, the calculation gives -332 meV/atom. For the total energy, the calculation gives -11.10 eV per cell.

This record from the Alexandria database describes a relaxed structure of ThTeRh2. The functional is PBE-GGA.

Cell lengths 5.513, 5.513, 5.513 Å; angles 47.72, 47.72, 47.72 degrees
Atoms (fractional coordinates):
Th1 0.000 0.000 0.000
Te1 0.500 0.500 0.500
Rh1 0.218 0.218 0.218
Rh2 0.782 0.782 0.782

As for the space-group type: R-3m, No. 166. The formation energy without anion corrections is -2.802 eV/f.u. The density of states at the Fermi level is 0.50 states/eV per atom. As for the density: 11181 kg/m³. For the total energy, the calculation gives -28.07 eV per cell.

This record from the Alexandria database describes a relaxed structure of InNiTe. The functional is PBE-GGA.

Cell lengths 5.641, 5.641, 5.375 Å; angles 116.71, 116.71, 67.41 degrees
Atoms (fractional coordinates):
In1 0.000 0.500 0.000
In2 0.500 0.000 0.500
Ni1 0.000 0.000 0.000
Ni2 0.000 0.000 0.500
Te1 0.327 0.673 0.750
Te2 0.673 0.327 0.250

As for the space-group type: C2/c, No. 15. The formation energy without anion corrections is -0.353 eV/f.u. The energy above the most stable polymorph in this dataset is 0.0000 eV/atom. The density of states at the Fermi level is 0.72 states/eV per atom. As for the density: 7527 kg/m³. For the total energy, the calculation gives -24.03 eV per cell.

This record from the Alexandria database describes a relaxed structure of AsPtI2N. The functional is PBE-GGA.

Cell lengths 5.731, 5.731, 3.718 Å; angles 90.00, 90.00, 90.00 degrees
Atoms (fractional coordinates):
As1 0.000 0.000 0.000
Pt1 0.500 0.500 0.500
I1 0.000 0.500 0.500
I2 0.500 0.000 0.500
N1 0.500 0.500 0.000

As for the space-group type: P4/mmm, No. 123. The formation energy without anion corrections is 3.738 eV/f.u. The energy above the most stable polymorph in this dataset is 0.0000 eV/atom. The density of states at the Fermi level is 0.86 states/eV per atom. As for the density: 7315 kg/m³. For the total energy, the calculation gives -18.38 eV per cell.

This record from the Alexandria database describes a relaxed structure of Nd8HSe4S3. The functional is PBE-GGA.

Cell lengths 8.302, 8.302, 8.302 Å; angles 59.12, 59.12, 59.12 degrees
Atoms (fractional coordinates):
Nd1 0.243 0.243 0.243
Nd2 0.244 0.744 0.744
Nd3 0.256 0.256 0.756
Nd4 0.256 0.756 0.256
Nd5 0.744 0.244 0.744
Nd6 0.744 0.744 0.244
Nd7 0.756 0.256 0.256
Nd8 0.757 0.757 0.757
H1 0.500 0.500 0.500
Se1 0.000 0.000 0.000
Se2 0.000 0.500 0.500
Se3 0.500 0.000 0.500
Se4 0.500 0.500 0.000
S1 0.000 0.000 0.500
S2 0.000 0.500 0.000
S3 0.500 0.000 0.000

As for the space-group type: R-3m, No. 166. The density of states at the Fermi level is 0.47 states/eV per atom. As for the density: 6561 kg/m³. For the total energy, the calculation gives -95.04 eV per cell.

This record from the Alexandria database describes a relaxed structure of Pm6PrDy2. The functional is PBE-GGA.

Cell lengths 7.587, 7.587, 6.205 Å; angles 90.02, 90.02, 60.00 degrees
Atoms (fractional coordinates):
Pm1 0.123 0.688 0.709
Pm2 0.312 0.312 0.289
Pm3 0.312 0.877 0.291
Pm4 0.688 0.123 0.709
Pm5 0.688 0.688 0.711
Pm6 0.877 0.312 0.291
Pr1 0.500 0.500 0.000
Dy1 0.166 0.166 0.783
Dy2 0.834 0.834 0.217

As for the space-group type: C2/m, No. 12. The energy above the most stable polymorph in this dataset is 0.1835 eV/atom. The density of states at the Fermi level is 1.57 states/eV per atom. As for the density: 7172 kg/m³. For the calculated formation energy, the calculation gives 199 meV/atom. For the total energy, the calculation gives -40.69 eV per cell.

This record from the Alexandria database describes a relaxed structure of PmTm12Sn7. The functional is PBE-GGA.

Cell lengths 9.196, 9.196, 9.196 Å; angles 110.28, 110.28, 110.28 degrees
Atoms (fractional coordinates):
Pm1 0.000 0.000 0.000
Tm1 0.000 0.275 0.725
Tm2 0.000 0.725 0.275
Tm3 0.169 0.497 0.497
Tm4 0.275 0.000 0.725
Tm5 0.275 0.725 0.000
Tm6 0.497 0.169 0.497
Tm7 0.497 0.497 0.169
Tm8 0.503 0.503 0.831
Tm9 0.503 0.831 0.503
Tm10 0.725 0.000 0.275
Tm11 0.725 0.275 0.000
Tm12 0.831 0.503 0.503
Sn1 0.135 0.135 0.448
Sn2 0.135 0.448 0.135
Sn3 0.448 0.135 0.135
Sn4 0.500 0.500 0.500
Sn5 0.552 0.865 0.865
Sn6 0.865 0.552 0.865
Sn7 0.865 0.865 0.552

As for the space-group type: R-3m, No. 166. The density of states at the Fermi level is 1.09 states/eV per atom. As for the density: 8599 kg/m³. For the calculated formation energy, the calculation gives -404 meV/atom. For the total energy, the calculation gives -94.52 eV per cell.

This record from the Alexandria database describes a relaxed structure of YHAu. The functional is PBE-GGA.

Cell lengths 3.730, 3.730, 7.063 Å; angles 90.00, 90.00, 90.00 degrees
Atoms (fractional coordinates):
Y1 0.250 0.250 0.178
Y2 0.750 0.750 0.822
H1 0.250 0.750 0.000
H2 0.750 0.250 0.000
Au1 0.250 0.250 0.611
Au2 0.750 0.750 0.389

As for the space-group type: P4/nmm, No. 129. The energy above the most stable polymorph in this dataset is 0.0000 eV/atom. The density of states at the Fermi level is 0.43 states/eV per atom. As for the density: 9694 kg/m³. For the total energy, the calculation gives -30.93 eV per cell.